Entry 1:
A plane-wave DFT calculation with PBE-GGA was carried out for crystalline TcAuSe2 at its relaxed geometry.

- energy relative to the elements, uncorrected (meV/atom) = 36
- electronic total energy (eV per atom) = -5.12
- size of the total moment (μB per formula unit) = 0.0
- calculated volume (Å³ per atom) = 19.982
- ΔE to the lowest computed polymorph (meV/atom) = 239
- D(E_F) (states/eV/f.u.) = 2.897

a = 9.5837 Å, b = 10.6593 Å, c = 12.5370 Å
α = 90.00°, β = 93.09°, γ = 90.00°
With the nearest neighbours (Å) after each atom.
Space group C2/c (No. 15)
One atom of each set of equivalent atoms:
Tc  0.0094  0.0920  0.3656 x8  6 Se 2.47-2.74
Tc  0.2129  0.1308  0.8744 x8  5 Se 2.50-2.62
Au  0.0734  0.4254  0.5897 x8  2 Se 2.51-2.59
Au  0.1701  0.3147  0.3995 x8  3 Se 2.54-2.84
Se  0.0000  0.0970  0.7500 x4  4 Tc 2.48-2.53
Se  0.0000  0.4548  0.2500 x4  2 Au 2.51
Se  0.0901  0.2618  0.0051 x8  3 Tc 2.50-2.64, 1 Au 2.59
Se  0.1628  0.0219  0.5191 x8  3 Tc 2.47-2.56, 1 Au 2.54
Se  0.2097  0.1746  0.2339 x8  3 Tc 2.54-2.74, 1 Au 2.60

=====

Entry 2:
A plane-wave DFT calculation with PBE-GGA was carried out for crystalline TcAuSe at its relaxed geometry.

- energy relative to the elements, uncorrected (meV/atom) = 67
- electronic total energy (eV per atom) = -5.64
- size of the total moment (μB per formula unit) = 0.0
- calculated volume (Å³ per atom) = 18.968
- ΔE to the lowest computed polymorph (meV/atom) = 0
- D(E_F) (states/eV/f.u.) = 2.635

a = 3.0596 Å, b = 3.0596 Å, c = 7.0190 Å
α = 90.00°, β = 90.00°, γ = 120.00°
With the nearest neighbours (Å) after each atom.
Space group P3m1 (No. 156)
One atom of each set of equivalent atoms:
Tc  0.0000  0.0000  0.0000 x1  3 Se 2.42
Au  0.6667  0.3333  0.3263 x1  3 Tc 2.89, 6 Au 3.06
Se  0.3333  0.6667  0.7640 x1  3 Tc 2.42

=====

Entry 3:
A plane-wave DFT calculation with PBE-GGA was carried out for crystalline Tc2AuSe at its relaxed geometry.

- energy relative to the elements, uncorrected (meV/atom) = 686
- electronic total energy (eV per atom) = -6.19
- size of the total moment (μB per formula unit) = 0.0
- calculated volume (Å³ per atom) = 16.651
- D(E_F) (states/eV/f.u.) = 4.835

a = 5.2419 Å, b = 8.8582 Å, c = 3.2080 Å
α = 90.00°, β = 116.59°, γ = 90.00°
With the nearest neighbours (Å) after each atom.
Space group C2/m (No. 12)
One atom of each set of equivalent atoms:
Tc  0.2500  0.2500  0.0000 x4  2 Tc 2.62, 2 Au 2.70, 2 Se 2.70
Au  0.0000  0.0000  0.5000 x2  2 Se 2.62, 4 Tc 2.70
Se  0.0000  0.5000  0.5000 x2  2 Au 2.62, 4 Tc 2.70

=====

Entry 4:
A plane-wave DFT calculation with PBE-GGA was carried out for crystalline TcAuSe2 at its relaxed geometry.

- energy relative to the elements, uncorrected (meV/atom) = -60
- electronic total energy (eV per atom) = -5.21
- size of the total moment (μB per formula unit) = 2.0
- calculated volume (Å³ per atom) = 22.176
- ΔE to the lowest computed polymorph (meV/atom) = 143
- D(E_F) (states/eV/f.u.) = 1.371

a = 3.6109 Å, b = 3.6109 Å, c = 23.5680 Å
α = 90.00°, β = 90.00°, γ = 120.00°
With the nearest neighbours (Å) after each atom.
Space group R-3m (No. 166, hexagonal axes)
One atom of each set of equivalent atoms:
Tc  0.0000  0.0000  0.0000 x3  6 Se 2.54
Au  0.0000  0.0000  0.5000 x3  2 Se 2.47
Se  0.0000  0.0000  0.3953 x6  1 Au 2.47, 3 Tc 2.54

=====

Entry 5:
A plane-wave DFT calculation with PBE-GGA was carried out for crystalline TcAu2Se at its relaxed geometry.

- energy relative to the elements, uncorrected (meV/atom) = 295
- electronic total energy (eV per atom) = -4.81
- size of the total moment (μB per formula unit) = 0.0
- calculated volume (Å³ per atom) = 18.960
- D(E_F) (states/eV/f.u.) = 2.403

a = 3.0093 Å, b = 4.8854 Å, c = 10.3173 Å
α = 90.00°, β = 90.00°, γ = 90.00°
With the nearest neighbours (Å) after each atom.
Space group Cmm2 (No. 35)
One atom of each set of equivalent atoms:
Tc  0.0000  0.0000  0.0000 x2  2 Se 2.45
Au  0.0000  0.0000  0.4801 x2  8 Au 2.87-3.01
Au  0.0000  0.5000  0.2345 x2  2 Tc 2.85, 8 Au 2.87-3.01
Se  0.0000  0.5000  0.8131 x2  2 Tc 2.45

=====

Entry 6:
A plane-wave DFT calculation with PBE-GGA was carried out for crystalline TcAuSe2 at its relaxed geometry.

- energy relative to the elements, uncorrected (meV/atom) = 45
- electronic total energy (eV per atom) = -5.11
- size of the total moment (μB per formula unit) = 0.0
- calculated volume (Å³ per atom) = 23.960
- ΔE to the lowest computed polymorph (meV/atom) = 248
- D(E_F) (states/eV/f.u.) = 0.301

a = 8.2863 Å, b = 8.2863 Å, c = 5.5831 Å
α = 90.00°, β = 90.00°, γ = 90.00°
With the nearest neighbours (Å) after each atom.
Space group I4/mcm (No. 140)
One atom of each set of equivalent atoms:
Tc  0.0000  0.5000  0.2500 x4  4 Se 2.36
Au  0.0000  0.0000  0.2500 x4  2 Au 2.79
Se  0.1623  0.3377  0.0000 x8  2 Tc 2.36